Compound: LiPuCd2
Source: Alexandria via LeMat-Bulk
Functional: GGA-PBE
Structure: relaxed

The space group is P4/mmm (No. 123) and the conventional cell measures 5.6289, 5.6289 and 3.0144 Å, with angles of 90.00, 90.00 and 90.00 degrees. The distinct sites, in fractional coordinates, are Li at (0.0000, 0.0000, 0.0000), Pu at (0.5000, 0.5000, 0.0000) and Cd at (0.0000, 0.5000, 0.5000).

The formation energy from the elements comes out at -40 meV per atom. The calculation puts the mass density at 8.27 g/cm³. The total DFT energy (no corrections) is -4.56 eV per atom.